Record 1
A plane-wave DFT calculation with PBE was carried out for a relaxed structure of HRuBr2.

For the total energy, the calculation gives -53.57 eV for the cell shown. For the energy relative to the lowest polymorph listed for this composition, the calculation gives 0.177 eV per atom. For the density of states at the Fermi level, the calculation gives 2.4 states/eV/f.u.

Structure (CIF):
```
data_HRuBr2
_chemical_formula_sum 'H4 Ru4 Br8'
_symmetry_space_group_name_H-M 'I -4 2 d'
_symmetry_Int_Tables_number 122
_symmetry_space_group_name_Hall 'I -4 2bw'
_cell_length_a 5.3907
_cell_length_b 5.3907
_cell_length_c 10.2509
_cell_angle_alpha 90.00
_cell_angle_beta 90.00
_cell_angle_gamma 90.00
loop_
_atom_site_label
_atom_site_type_symbol
_atom_site_fract_x
_atom_site_fract_y
_atom_site_fract_z
H1 H 0.0000 0.0000 0.0000
Ru1 Ru 0.0000 0.0000 0.5000
Br1 Br 0.2090 0.2500 0.1250
```



Record 2
A plane-wave DFT calculation with PBE was carried out for a relaxed structure of HRu3Br.

For the total energy, the calculation gives -28.44 eV for the cell shown. For the energy relative to the lowest polymorph listed for this composition, the calculation gives 0.000 eV per atom. For the density of states at the Fermi level, the calculation gives 2.7 states/eV/f.u.

Structure (CIF):
```
data_HRu3Br
_chemical_formula_sum 'H1 Ru3 Br1'
_symmetry_space_group_name_H-M 'P m -3 m'
_symmetry_Int_Tables_number 221
_symmetry_space_group_name_Hall '-P 4 2 3'
_cell_length_a 3.9811
_cell_length_b 3.9811
_cell_length_c 3.9811
_cell_angle_alpha 90.00
_cell_angle_beta 90.00
_cell_angle_gamma 90.00
loop_
_atom_site_label
_atom_site_type_symbol
_atom_site_fract_x
_atom_site_fract_y
_atom_site_fract_z
H1 H 0.0000 0.0000 0.0000
Ru1 Ru 0.0000 0.0000 0.5000
Br1 Br 0.5000 0.5000 0.5000
```



Record 3
A plane-wave DFT calculation with PBE was carried out for a relaxed structure of HRuBr4.

For the total energy, the calculation gives -82.70 eV for the cell shown. For the density of states at the Fermi level, the calculation gives 3.4 states/eV/f.u.

Structure (CIF):
```
data_HRuBr4
_chemical_formula_sum 'H4 Ru4 Br16'
_symmetry_space_group_name_H-M 'C 1 2/c 1'
_symmetry_Int_Tables_number 15
_symmetry_space_group_name_Hall '-C 2yc'
_cell_length_a 6.0008
_cell_length_b 18.1880
_cell_length_c 6.5562
_cell_angle_alpha 90.00
_cell_angle_beta 94.34
_cell_angle_gamma 90.00
loop_
_atom_site_label
_atom_site_type_symbol
_atom_site_fract_x
_atom_site_fract_y
_atom_site_fract_z
H1 H 0.0000 0.1453 0.2500
Ru1 Ru 0.0000 0.4500 0.7500
Br1 Br 0.2288 0.4543 0.0884
Br2 Br 0.2431 0.3491 0.6146
```



Record 4
A plane-wave DFT calculation with PBE was carried out for a relaxed structure of H2Ru2Br7.

For the total energy, the calculation gives -37.89 eV for the cell shown. For the density of states at the Fermi level, the calculation gives 6.4 states/eV/f.u.

Structure (CIF):
```
data_H2Ru2Br7
_chemical_formula_sum 'H2 Ru2 Br7'
_symmetry_space_group_name_H-M 'P -1'
_symmetry_Int_Tables_number 2
_symmetry_space_group_name_Hall '-P 1'
_cell_length_a 6.7374
_cell_length_b 6.7488
_cell_length_c 10.1224
_cell_angle_alpha 99.58
_cell_angle_beta 100.45
_cell_angle_gamma 113.93
loop_
_atom_site_label
_atom_site_type_symbol
_atom_site_fract_x
_atom_site_fract_y
_atom_site_fract_z
H1 H 0.0828 0.2203 0.0951
Ru1 Ru 0.2813 0.7199 0.4998
Br1 Br 0.0786 0.5737 0.6735
Br2 Br 0.2266 0.3047 0.0081
Br3 Br 0.4232 0.9258 0.3268
Br4 Br 0.5000 0.5000 0.5000
```



Record 5
A plane-wave DFT calculation with PBE was carried out for a relaxed structure of SbHRuBr2.

For the total energy, the calculation gives -15.80 eV for the cell shown. For the density of states at the Fermi level, the calculation gives 4.0 states/eV/f.u.

Structure (CIF):
```
data_SbHRuBr2
_chemical_formula_sum 'Sb1 H1 Ru1 Br2'
_symmetry_space_group_name_H-M 'P 4/m m m'
_symmetry_Int_Tables_number 123
_symmetry_space_group_name_Hall '-P 4 2'
_cell_length_a 5.1497
_cell_length_b 5.1497
_cell_length_c 3.7531
_cell_angle_alpha 90.00
_cell_angle_beta 90.00
_cell_angle_gamma 90.00
loop_
_atom_site_label
_atom_site_type_symbol
_atom_site_fract_x
_atom_site_fract_y
_atom_site_fract_z
Sb1 Sb 0.0000 0.0000 0.0000
H1 H 0.0000 0.0000 0.5000
Ru1 Ru 0.5000 0.5000 0.0000
Br1 Br 0.0000 0.5000 0.5000
```



Record 6
A plane-wave DFT calculation with PBE was carried out for a relaxed structure of HRuSeBr2.

For the total energy, the calculation gives -14.74 eV for the cell shown. For the energy relative to the lowest polymorph listed for this composition, the calculation gives 0.357 eV per atom. For the density of states at the Fermi level, the calculation gives 5.3 states/eV/f.u.

Structure (CIF):
```
data_HRuSeBr2
_chemical_formula_sum 'H1 Ru1 Se1 Br2'
_symmetry_space_group_name_H-M 'P 4/m m m'
_symmetry_Int_Tables_number 123
_symmetry_space_group_name_Hall '-P 4 2'
_cell_length_a 5.2531
_cell_length_b 5.2531
_cell_length_c 3.4535
_cell_angle_alpha 90.00
_cell_angle_beta 90.00
_cell_angle_gamma 90.00
loop_
_atom_site_label
_atom_site_type_symbol
_atom_site_fract_x
_atom_site_fract_y
_atom_site_fract_z
H1 H 0.0000 0.0000 0.0000
Ru1 Ru 0.5000 0.5000 0.5000
Se1 Se 0.0000 0.0000 0.5000
Br1 Br 0.0000 0.5000 0.0000
```



Record 7
A plane-wave DFT calculation with PBE was carried out for a relaxed structure of HRuSe2Br.

For the total energy, the calculation gives -17.81 eV for the cell shown. For the energy relative to the lowest polymorph listed for this composition, the calculation gives 0.000 eV per atom. For the density of states at the Fermi level, the calculation gives 4.6 states/eV/f.u.

Structure (CIF):
```
data_HRuSe2Br
_chemical_formula_sum 'H1 Ru1 Se2 Br1'
_symmetry_space_group_name_H-M 'P 4/m m m'
_symmetry_Int_Tables_number 123
_symmetry_space_group_name_Hall '-P 4 2'
_cell_length_a 4.7578
_cell_length_b 4.7578
_cell_length_c 5.4662
_cell_angle_alpha 90.00
_cell_angle_beta 90.00
_cell_angle_gamma 90.00
loop_
_atom_site_label
_atom_site_type_symbol
_atom_site_fract_x
_atom_site_fract_y
_atom_site_fract_z
H1 H 0.0000 0.0000 0.0000
Ru1 Ru 0.5000 0.5000 0.5000
Se1 Se 0.0000 0.5000 0.5000
Br1 Br 0.5000 0.5000 0.0000
```



Record 8
A plane-wave DFT calculation with PBE was carried out for a relaxed structure of HRuSeBr2.

For the total energy, the calculation gives -16.53 eV for the cell shown. For the energy relative to the lowest polymorph listed for this composition, the calculation gives 0.000 eV per atom. For the density of states at the Fermi level, the calculation gives 4.0 states/eV/f.u.

Structure (CIF):
```
data_HRuSeBr2
_chemical_formula_sum 'H1 Ru1 Se1 Br2'
_symmetry_space_group_name_H-M 'P 4/m m m'
_symmetry_Int_Tables_number 123
_symmetry_space_group_name_Hall '-P 4 2'
_cell_length_a 5.2758
_cell_length_b 5.2758
_cell_length_c 4.6216
_cell_angle_alpha 90.00
_cell_angle_beta 90.00
_cell_angle_gamma 90.00
loop_
_atom_site_label
_atom_site_type_symbol
_atom_site_fract_x
_atom_site_fract_y
_atom_site_fract_z
H1 H 0.0000 0.0000 0.0000
Ru1 Ru 0.5000 0.5000 0.5000
Se1 Se 0.5000 0.5000 0.0000
Br1 Br 0.0000 0.5000 0.5000
```



Per-record calculated density, g/cm³: 5.8, 10.1, 3.9, 3.2, 6.4, 5.9, 4.6, 4.4
Per-record V, Å³ per atom: 18.62, 12.62, 29.73, 36.25, 19.91, 19.06, 24.75, 25.73